1.
Below is an optimized crystal structure of Nd2PdPb2, with properties calculated at the GGA-PBE level.

The value obtained for the volume is 27.713 A^3/atom. The formation energy comes out at -0.62 eV/atom. For the final energy, the calculation gives -0.3711 Ry per atom. The space-group type is C2/m (12). The calculation puts the density of states at the Fermi level at 7.53 states/eV/cell.

The structure in POSCAR format:
```
Nd2PdPb2
1.0
-2.564 -3.617 -1.399
-0.080 -4.567 4.229
-9.767 2.741 3.093
Pb Pd Nd
4 2 4
Direct
0.654 0.806 0.885
0.096 0.250 0.558
0.346 0.194 0.115
0.904 0.750 0.442
0.384 0.906 0.327
0.616 0.094 0.673
0.061 0.757 0.120
0.939 0.243 0.880
0.326 0.678 0.670
0.674 0.322 0.330
```


2.
Below is an optimized crystal structure of BeHAu, with properties calculated at the GGA-PBE level.

The value obtained for the volume is 12.023 A^3/atom. The offset from the most stable computed form comes out at 0.000 eV/atom. For the final energy, the calculation gives -0.2523 Ry per atom. The space-group type is Pm (6). The calculation puts the density of states at the Fermi level at 1.32 states/eV/cell.

The structure in POSCAR format:
```
BeHAu
1.0
4.384 0.000 0.004
0.000 2.780 0.000
-1.504 0.000 5.919
H Au Be
2 2 2
Direct
0.359 0.500 0.273
0.918 0.000 0.395
0.742 0.000 0.000
0.154 0.000 0.681
0.255 0.500 0.023
0.050 0.500 0.316
```


3.
Below is an optimized crystal structure of BeGa4Ni15, with properties calculated at the GGA-PBE level.

The value obtained for the volume is 11.225 A^3/atom. The formation energy comes out at -0.26 eV/atom. For the final energy, the calculation gives -0.3959 Ry per atom. The space-group type is P4/mmm (123). The calculation puts the density of states at the Fermi level at 18.58 states/eV/cell.

The structure in POSCAR format:
```
BeGa4Ni15
1.0
3.561 0.000 0.000
0.000 3.561 0.000
0.000 0.000 17.700
Ni Ga Be
15 4 1
Direct
0.000 0.500 0.296
0.000 0.500 0.091
0.500 0.000 0.909
0.500 0.000 0.500
0.000 0.500 0.704
0.500 0.500 0.000
0.500 0.500 0.806
0.500 0.500 0.602
0.000 0.500 0.909
0.500 0.000 0.296
0.000 0.500 0.500
0.500 0.500 0.194
0.500 0.000 0.091
0.500 0.000 0.704
0.500 0.500 0.398
0.000 0.000 0.194
0.000 0.000 0.806
0.000 0.000 0.602
0.000 0.000 0.398
0.000 0.000 0.000
```


4.
Below is an optimized crystal structure of Tb2Pr6NdTm, with properties calculated at the GGA-PBE level.

The value obtained for the volume is 34.949 A^3/atom. The formation energy comes out at 0.11 eV/atom. For the final energy, the calculation gives -0.3385 Ry per atom. The space-group type is C2/c (15). The calculation puts the density of states at the Fermi level at 28.83 states/eV/cell.

The structure in POSCAR format:
```
Tb2Pr6NdTm
1.0
9.312 -2.013 -2.089
0.808 8.756 -2.032
0.808 -2.355 8.675
Tb Pr Nd Tm
4 12 2 2
Direct
0.047 0.299 0.202
0.453 0.798 0.701
0.547 0.202 0.299
0.953 0.701 0.798
0.617 0.489 0.706
0.554 0.759 0.117
0.117 0.706 0.489
0.946 0.883 0.241
0.311 0.994 0.436
0.689 0.006 0.564
0.811 0.436 0.994
0.383 0.511 0.294
0.054 0.117 0.759
0.189 0.564 0.006
0.883 0.294 0.511
0.446 0.241 0.883
0.250 0.974 0.026
0.750 0.026 0.974
0.750 0.588 0.412
0.250 0.412 0.588
```


5.
Below is an optimized crystal structure of Ba2LiEuCu4O8, with properties calculated at the GGA-PBE level.

The value obtained for the volume is 13.883 A^3/atom. The offset from the most stable computed form comes out at 0.108 eV/atom. For the final energy, the calculation gives -0.4377 Ry per atom. The space-group type is Cm (8). The calculation puts the density of states at the Fermi level at 12.39 states/eV/cell. For the uncorrected formation energy, the calculation gives -1.450 eV per atom.

The structure in POSCAR format:
```
Ba2LiEuCu4O8
1.0
13.718 2.002 -0.003
-13.718 2.002 -0.003
0.000 0.137 4.045
Li Ba Cu O Eu
1 2 4 8 1
Direct
0.828 0.828 0.829
0.376 0.652 0.515
0.652 0.376 0.515
0.940 0.083 0.010
0.226 0.799 0.011
0.083 0.940 0.010
0.799 0.226 0.011
0.866 0.158 0.013
0.158 0.866 0.013
0.294 0.730 0.008
0.035 0.924 0.506
0.730 0.294 0.008
0.924 0.035 0.506
0.563 0.453 0.978
0.453 0.563 0.978
0.422 0.422 0.420
```


6.
Below is an optimized crystal structure of Na2SrAg, with properties calculated at the GGA-PBE level.

The value obtained for the volume is 30.824 A^3/atom. The formation energy comes out at 0.07 eV/atom. The offset from the most stable computed form comes out at 0.155 eV/atom. For the final energy, the calculation gives -0.1264 Ry per atom. The space-group type is Fm-3m (225). The calculation puts the density of states at the Fermi level at 2.25 states/eV/cell.

The structure in POSCAR format:
```
Na2SrAg
1.0
0.000 3.950 3.950
3.950 0.000 3.950
3.950 3.950 0.000
Na Sr Ag
2 1 1
Direct
0.250 0.250 0.250
0.750 0.750 0.750
0.000 0.000 0.000
0.500 0.500 0.500
```


7.
Below is an optimized crystal structure of CaAcTlO4, with properties calculated at the GGA-PBE level.

The value obtained for the volume is 18.739 A^3/atom. For the final energy, the calculation gives -0.4590 Ry per atom. The space-group type is Cmcm (63). For the uncorrected formation energy, the calculation gives -2.201 eV per atom.

The structure in POSCAR format:
```
CaAcTlO4
1.0
-5.135 1.676 -2.913
0.431 -5.997 1.231
-3.463 1.138 6.758
Tl O Ca Ac
2 8 2 2
Direct
0.160 0.840 0.250
0.840 0.160 0.750
0.749 0.760 0.750
0.260 0.740 0.007
0.740 0.260 0.993
0.251 0.240 0.250
0.760 0.749 0.250
0.260 0.740 0.493
0.240 0.251 0.750
0.740 0.260 0.507
0.153 0.847 0.750
0.847 0.153 0.250
0.500 0.500 0.000
0.500 0.500 0.500
```


8.
Below is an optimized crystal structure of TbPm2YTe6, with properties calculated at the GGA-PBE level.

The value obtained for the volume is 37.505 A^3/atom. For the final energy, the calculation gives -0.3913 Ry per atom. The space-group type is R3 (146). For the uncorrected formation energy, the calculation gives -1.379 eV per atom.

The structure in POSCAR format:
```
TbPm2YTe6
1.0
-2.260 -6.568 -3.579
5.239 -5.565 -1.627
-0.245 -7.052 4.567
Te Pm Tb Y
6 2 1 1
Direct
0.220 0.928 0.255
0.720 0.099 0.755
0.598 0.220 0.255
0.099 0.426 0.755
0.426 0.720 0.755
0.928 0.598 0.255
0.012 0.012 0.964
0.512 0.512 0.463
0.823 0.823 0.530
0.324 0.324 0.029
```


9.
Below is an optimized crystal structure of SrMg3F, with properties calculated at the GGA-PBE level.

The value obtained for the volume is 25.115 A^3/atom. The offset from the most stable computed form comes out at 0.000 eV/atom. For the final energy, the calculation gives -0.1738 Ry per atom. The space-group type is Pm-3m (221). The calculation puts the density of states at the Fermi level at 2.35 states/eV/cell. For the uncorrected formation energy, the calculation gives -0.697 eV per atom.

The structure in POSCAR format:
```
SrMg3F
1.0
5.008 0.000 0.000
0.000 5.008 0.000
0.000 0.000 5.008
F Mg Sr
1 3 1
Direct
0.000 0.000 0.000
0.000 0.000 0.500
0.500 0.000 0.000
0.000 0.500 0.000
0.500 0.500 0.500
```


10.
Below is an optimized crystal structure of Y3ErPt2, with properties calculated at the GGA-PBE level.

The value obtained for the volume is 25.169 A^3/atom. The formation energy comes out at -0.94 eV/atom. For the final energy, the calculation gives -0.5109 Ry per atom. The space-group type is Pmc2_1 (26). The calculation puts the density of states at the Fermi level at 12.70 states/eV/cell.

The structure in POSCAR format:
```
Y3ErPt2
1.0
-1.468 3.116 -3.318
-6.740 -2.224 0.893
-1.186 6.109 6.262
Y Pt Er
6 4 2
Direct
0.000 0.991 0.083
0.500 0.644 0.169
0.000 0.491 0.917
0.000 0.356 0.333
0.000 0.856 0.667
0.500 0.144 0.831
0.500 0.239 0.158
0.000 0.261 0.655
0.000 0.761 0.345
0.500 0.739 0.842
0.500 0.509 0.585
0.500 0.009 0.415
```


11.
Below is an optimized crystal structure of RbSm2AgBr8, with properties calculated at the GGA-PBE level.

The value obtained for the volume is 38.457 A^3/atom. For the final energy, the calculation gives -0.2778 Ry per atom. The space-group type is P-1 (2). The calculation puts the density of states at the Fermi level at 0.00 states/eV/cell. For the uncorrected formation energy, the calculation gives -1.560 eV per atom.

The structure in POSCAR format:
```
RbSm2AgBr8
1.0
-6.515 -3.298 -0.289
2.054 -6.388 2.585
-1.773 2.766 8.227
Br Sm Ag Rb
8 2 1 1
Direct
0.160 0.738 0.784
0.632 0.722 0.000
0.160 0.736 0.216
0.377 0.289 0.500
0.840 0.262 0.216
0.623 0.711 0.500
0.840 0.264 0.784
0.368 0.278 0.000
0.500 0.500 0.241
0.500 0.500 0.759
0.000 0.000 0.000
0.000 0.000 0.500
```


12.
Below is an optimized crystal structure of Pm2Ga4PdPt3, with properties calculated at the GGA-PBE level.

The value obtained for the volume is 19.245 A^3/atom. The formation energy comes out at -0.94 eV/atom. For the final energy, the calculation gives -0.3995 Ry per atom. The space-group type is P-4m2 (115). The calculation puts the density of states at the Fermi level at 9.28 states/eV/cell.

The structure in POSCAR format:
```
Pm2Ga4PdPt3
1.0
4.265 0.000 0.000
0.000 4.265 0.000
0.000 0.000 10.581
Pt Ga Pm Pd
3 4 2 1
Direct
0.000 0.000 0.500
0.000 0.500 0.134
0.500 0.000 0.866
0.000 0.000 0.000
0.000 0.500 0.369
0.500 0.000 0.631
0.500 0.500 0.000
0.500 0.000 0.245
0.000 0.500 0.755
0.500 0.500 0.500
```


13.
Below is an optimized crystal structure of LaMnCu2Se, with properties calculated at the GGA-PBE level.

The value obtained for the volume is 31.869 A^3/atom. For the final energy, the calculation gives -0.3176 Ry per atom. The space-group type is P4/mmm (123). The calculation puts the density of states at the Fermi level at 2.32 states/eV/cell. For the uncorrected formation energy, the calculation gives 0.834 eV per atom.

The structure in POSCAR format:
```
LaMnCu2Se
1.0
5.334 0.000 0.000
0.000 5.601 0.000
0.000 0.000 5.334
La Cu Mn Se
1 2 1 1
Direct
0.000 0.000 0.000
0.500 0.000 0.000
0.000 0.000 0.500
0.500 0.500 0.500
0.000 0.500 0.000
```


14.
Below is an optimized crystal structure of PmPrAg4, with properties calculated at the GGA-PBE level.

The value obtained for the volume is 24.037 A^3/atom. The formation energy comes out at -0.26 eV/atom. The offset from the most stable computed form comes out at 0.000 eV/atom. For the final energy, the calculation gives -0.2755 Ry per atom. The space-group type is Cmcm (63). The calculation puts the density of states at the Fermi level at 10.40 states/eV/cell.

The structure in POSCAR format:
```
PmPrAg4
1.0
4.825 -0.001 0.001
0.002 6.770 2.454
-0.001 0.556 9.032
Pm Ag Pr
2 8 2
Direct
0.750 0.130 0.240
0.250 0.870 0.760
0.250 0.961 0.083
0.750 0.039 0.917
0.250 0.270 0.417
0.750 0.545 0.917
0.750 0.730 0.583
0.250 0.455 0.083
0.750 0.187 0.583
0.250 0.813 0.417
0.250 0.380 0.740
0.750 0.620 0.260
```


15.
Below is an optimized crystal structure of AcYTmPu, with properties calculated at the GGA-PBE level.

The value obtained for the volume is 33.983 A^3/atom. The formation energy comes out at 0.25 eV/atom. For the final energy, the calculation gives -0.5218 Ry per atom. The space-group type is F-43m (216). The calculation puts the density of states at the Fermi level at 13.49 states/eV/cell.

The structure in POSCAR format:
```
AcYTmPu
1.0
5.771 0.000 0.000
2.886 4.998 0.000
2.886 1.666 4.712
Y Tm Ac Pu
1 1 1 1
Direct
0.750 0.750 0.750
0.250 0.250 0.250
0.500 0.500 0.500
0.000 0.000 0.000
```


16.
Below is an optimized crystal structure of CdCo4Au, with properties calculated at the GGA-PBE level.

The value obtained for the volume is 13.720 A^3/atom. The formation energy comes out at 0.21 eV/atom. For the final energy, the calculation gives -0.3843 Ry per atom. The space-group type is F-43m (216). The calculation puts the density of states at the Fermi level at 7.69 states/eV/cell.

The structure in POSCAR format:
```
CdCo4Au
1.0
4.720 -1.244 0.127
1.277 -4.690 0.464
2.003 -2.369 -3.771
Co Au Cd
4 1 1
Direct
0.375 0.874 0.375
0.375 0.375 0.375
0.375 0.375 0.874
0.874 0.375 0.375
0.750 0.750 0.750
0.000 0.000 0.000
```


17.
Below is an optimized crystal structure of SmThSeN, with properties calculated at the GGA-PBE level.

The value obtained for the volume is 21.204 A^3/atom. For the final energy, the calculation gives -0.5584 Ry per atom. The space-group type is R3m (160). The calculation puts the density of states at the Fermi level at 0.36 states/eV/cell. For the uncorrected formation energy, the calculation gives -1.610 eV per atom.

The structure in POSCAR format:
```
SmThSeN
1.0
-0.590 3.733 -0.390
-3.516 1.317 -0.581
-2.267 2.241 6.378
Se N Sm Th
1 1 1 1
Direct
0.500 0.500 0.501
0.998 0.998 0.006
0.733 0.733 0.800
0.269 0.269 0.193
```


18.
Below is an optimized crystal structure of Tb2PuTi, with properties calculated at the GGA-PBE level.

The value obtained for the volume is 27.300 A^3/atom. The formation energy comes out at 0.47 eV/atom. For the final energy, the calculation gives -0.5440 Ry per atom. The space-group type is R-3m (166). The calculation puts the density of states at the Fermi level at 11.34 states/eV/cell.

The structure in POSCAR format:
```
Tb2PuTi
1.0
3.302 0.000 0.000
1.651 2.860 0.000
1.651 0.953 11.563
Tb Ti Pu
2 1 1
Direct
0.915 0.915 0.255
0.085 0.085 0.745
0.000 0.000 0.000
0.500 0.500 0.500
```


19.
Below is an optimized crystal structure of ScSeBr2O, with properties calculated at the GGA-PBE level.

The value obtained for the volume is 20.365 A^3/atom. The offset from the most stable computed form comes out at 0.126 eV/atom. For the final energy, the calculation gives -0.2716 Ry per atom. The space-group type is P4/mmm (123). The calculation puts the density of states at the Fermi level at 3.31 states/eV/cell. For the uncorrected formation energy, the calculation gives -0.071 eV per atom.

The structure in POSCAR format:
```
ScSeBr2O
1.0
4.723 0.000 0.000
0.000 4.723 0.000
0.000 0.000 4.564
Br Se Sc O
2 1 1 1
Direct
0.500 0.000 0.000
0.000 0.500 0.000
0.000 0.000 0.500
0.500 0.500 0.500
0.000 0.000 0.000
```